No. 1
Computed, not measured: a geometry-optimized Dy5Ga2Ag structure at the PBE level of DFT.

## Properties
- total moment (μB/atom) = 0.00
- E_form (eV/atom) = -0.26

abc: 6.808 6.808 6.441
angles: 121.91 121.91 89.99
Fractional positions:
1 Dy 0.722 0.222 0.944
2 Dy 0.222 0.222 0.944
3 Dy 0.722 0.722 0.944
4 Dy 0.222 0.722 0.944
5 Dy 0.722 0.722 0.444
6 Ga 0.222 0.722 0.445
7 Ga 0.722 0.222 0.445
8 Ag 0.222 0.222 0.444

=====

No. 2
Computed, not measured: a geometry-optimized DyGaAg structure at the PBE level of DFT.

## Properties
- total moment (μB/atom) = 0.00
- E_form (eV/atom) = -0.26

abc: 4.657 4.657 4.657
angles: 60.00 60.00 60.00
Fractional positions:
1 Ga 0.000 0.000 0.000
2 Ag 0.250 0.250 0.250
3 Dy 0.500 0.500 0.500

=====

No. 3
Computed, not measured: a geometry-optimized DyGa2Ag4 structure at the PBE level of DFT.

## Properties
- total moment (μB/atom) = 0.00
- E_form (eV/atom) = -0.21

abc: 4.269 7.959 7.959
angles: 90.00 90.00 90.00
Fractional positions:
1 Ag 0.000 0.096 0.345
2 Ag 0.000 0.904 0.655
3 Ag 0.500 0.155 0.596
4 Ag 0.500 0.845 0.404
5 Ag 0.500 0.404 0.845
6 Ag 0.500 0.596 0.155
7 Ag 0.000 0.345 0.096
8 Ag 0.000 0.655 0.904
9 Ga 0.000 0.204 0.796
10 Ga 0.000 0.796 0.204
11 Ga 0.500 0.704 0.704
12 Ga 0.500 0.296 0.296
13 Dy 0.500 0.000 0.000
14 Dy 0.000 0.500 0.500

=====

No. 4
Computed, not measured: a geometry-optimized DyGa3Ag3 structure at the PBE level of DFT.

## Properties
- total moment (μB/atom) = 0.00
- E_form (eV/atom) = 0.29

abc: 7.024 7.024 7.024
angles: 90.00 90.00 90.00
Fractional positions:
1 Ga 0.000 0.250 0.500
2 Ga 0.000 0.750 0.500
3 Ga 0.500 0.000 0.750
4 Ga 0.750 0.500 0.000
5 Ga 0.500 0.000 0.250
6 Ga 0.250 0.500 0.000
7 Ag 0.250 0.000 0.500
8 Ag 0.000 0.500 0.250
9 Ag 0.500 0.750 0.000
10 Ag 0.750 0.000 0.500
11 Ag 0.000 0.500 0.750
12 Ag 0.500 0.250 0.000
13 Dy 0.500 0.500 0.500
14 Dy 0.000 0.000 0.000

=====

No. 5
Computed, not measured: a geometry-optimized DyGa2Ag3 structure at the PBE level of DFT.

## Properties
- total moment (μB/atom) = 0.00
- E_form (eV/atom) = -0.23

abc: 4.395 8.219 8.219
angles: 58.04 74.49 74.49
Fractional positions:
1 Dy 0.867 0.133 0.133
2 Dy 0.133 0.867 0.867
3 Ga 0.500 0.155 0.845
4 Ga 0.500 0.845 0.155
5 Ga 0.806 0.694 0.694
6 Ga 0.194 0.306 0.306
7 Ag 0.326 0.475 0.874
8 Ag 0.000 0.330 0.670
9 Ag 0.674 0.126 0.525
10 Ag 0.326 0.874 0.475
11 Ag 0.000 0.670 0.330
12 Ag 0.674 0.525 0.126

=====

No. 6
Computed, not measured: a geometry-optimized Dy3GaAg2 structure at the PBE level of DFT.

## Properties
- total moment (μB/atom) = 0.00
- E_form (eV/atom) = -0.41

abc: 5.110 5.110 6.289
angles: 90.00 90.00 120.00
Fractional positions:
1 Dy 0.000 0.000 0.500
2 Dy 0.667 0.333 0.835
3 Dy 0.333 0.667 0.165
4 Ga 0.000 0.000 0.000
5 Ag 0.667 0.333 0.327
6 Ag 0.333 0.667 0.673

=====

No. 7
Computed, not measured: a geometry-optimized Dy2Ga7Ag12 structure at the PBE level of DFT.

## Properties
- total moment (μB/atom) = 0.00
- E_form (eV/atom) = -0.15

abc: 3.455 11.447 11.447
angles: 120.00 90.00 90.00
Fractional positions:
1 Dy 0.247 0.333 0.667
2 Dy 0.753 0.667 0.333
3 Ga 0.500 0.000 0.000
4 Ga 0.252 0.868 0.292
5 Ga 0.252 0.423 0.132
6 Ga 0.252 0.708 0.577
7 Ga 0.748 0.132 0.708
8 Ga 0.748 0.577 0.868
9 Ga 0.748 0.292 0.423
10 Ag 0.250 0.622 0.073
11 Ag 0.250 0.451 0.378
12 Ag 0.250 0.927 0.549
13 Ag 0.750 0.378 0.927
14 Ag 0.750 0.549 0.622
15 Ag 0.750 0.073 0.451
16 Ag 0.244 0.093 0.250
17 Ag 0.244 0.157 0.907
18 Ag 0.244 0.750 0.843
19 Ag 0.756 0.907 0.750
20 Ag 0.756 0.843 0.093
21 Ag 0.756 0.250 0.157

=====

No. 8
Computed, not measured: a geometry-optimized DyGa4Ag12 structure at the PBE level of DFT.

## Properties
- total moment (μB/atom) = 0.00
- E_form (eV/atom) = 0.23

abc: 7.802 7.802 7.802
angles: 109.47 109.47 109.47
Fractional positions:
1 Dy 0.000 0.000 0.000
2 Ga 0.000 0.500 0.000
3 Ga 0.500 0.000 0.000
4 Ga 0.500 0.500 0.500
5 Ga 0.000 0.000 0.500
6 Ag 0.846 0.345 0.191
7 Ag 0.345 0.498 0.154
8 Ag 0.809 0.154 0.655
9 Ag 0.345 0.191 0.846
10 Ag 0.191 0.846 0.345
11 Ag 0.655 0.502 0.846
12 Ag 0.498 0.154 0.345
13 Ag 0.502 0.846 0.655
14 Ag 0.655 0.809 0.154
15 Ag 0.846 0.655 0.502
16 Ag 0.154 0.345 0.498
17 Ag 0.154 0.655 0.809

=====

The records above give, respectively, volume values of 24.78; 23.81; 19.31; 24.75; 19.99; 23.70; 18.67; 21.51 A^3/atom.